# 1
Computed, not measured: TaBeN3 at its PBEsol-relaxed geometry at the meta-GGA SCAN level of DFT.

Calculated values
SG = Pm-3m (221)
energy relative to the elements, uncorrected = 749 meV/atom
magnetic moment = 2.008 μB per formula unit

Cell and atoms, written as extended XYZ:
```
5
Lattice="-3.889 -0.889 -0.327 0.730 -3.694 1.358 -0.603 1.260 3.751" Properties=species:S:1:pos:R:3 pbc="T T T"
Be -1.881 -1.661 2.391
N 0.365 -1.847 0.679
N -0.302 0.630 1.876
N -1.945 -0.444 -0.163
Ta 0.000 0.000 0.000
```

***

# 2
Computed, not measured: Os2NF at its PBEsol-relaxed geometry at the meta-GGA SCAN level of DFT.

Calculated values
SG = Fm-3m (225)
energy relative to the elements, uncorrected = 1675 meV/atom
magnetic moment = 0.001 μB per formula unit

Cell and atoms, written as extended XYZ:
```
4
Lattice="-0.659 -3.870 0.117 2.981 -2.515 -0.465 1.276 -2.119 3.051" Properties=species:S:1:pos:R:3 pbc="T T T"
N 0.000 0.000 0.000
Os 0.900 -2.126 0.676
Os 2.699 -6.378 2.027
F 1.799 -4.252 1.351
```

***

# 3
Computed, not measured: BAuCl3 at its PBEsol-relaxed geometry at the meta-GGA SCAN level of DFT.

Calculated values
SG = Pm-3m (221)
E above lowest polymorph = 0.0 meV/atom
energy relative to the elements, uncorrected = 457 meV/atom
magnetic moment = 0.000 μB per formula unit

Cell and atoms, written as extended XYZ:
```
5
Lattice="4.338 0.000 0.000 0.000 4.338 0.000 0.000 0.000 4.338" Properties=species:S:1:pos:R:3 pbc="T T T"
B 0.000 0.000 0.000
Au 2.169 2.169 2.169
Cl 0.000 2.169 0.000
Cl 0.000 0.000 2.169
Cl 2.169 0.000 0.000
```

***

- energy relative to the elements, uncorrected of number 3 (BAuCl3)?
  457 meV/atom